(1)
! Sm4Dy3Th2 PBE relaxed; values from VASP
! **Calculated formation energy**: 0.077 eV per atom
! **ΔE to the lowest computed polymorph**: 59.8 kJ/mol of formula units
! **Calculated volume**: 33.06 Å³/atom
! **N(E_F)**: 17.0 states/eV/f.u.
&SYSTEM
  ibrav = 0, nat = 9, ntyp = 3
/
ATOMIC_SPECIES
Sm 150.36 Sm.upf
Dy 162.50 Dy.upf
Th 232.04 Th.upf
CELL_PARAMETERS angstrom
-2.1728 0.7703 -2.7354
1.6644 -3.1640 0.1261
-20.7292 -10.3647 13.5472
ATOMIC_POSITIONS crystal
Sm 0.0000 0.0000 0.5445
Sm 0.6667 0.3333 0.4330
Sm 0.6667 0.3333 0.2177
Sm 0.0000 0.0000 0.7620
Dy 0.0000 0.0000 0.9815
Dy 0.0000 0.0000 0.3239
Dy 0.6667 0.3333 0.6525
Th 0.6667 0.3333 0.0899
Th 0.6667 0.3333 0.8722

=====

(2)
! SmMgCl4 PBE relaxed; values from VASP
! **Calculated volume**: 29.26 Å³/atom
! **Electronic total energy**: -24.93 eV per cell
! **N(E_F)**: 1.5 states/eV/f.u.
&SYSTEM
  ibrav = 0, nat = 6, ntyp = 3
/
ATOMIC_SPECIES
Sm 150.36 Sm.upf
Mg 24.30 Mg.upf
Cl 35.45 Cl.upf
CELL_PARAMETERS angstrom
3.6029 0.0000 0.0000
0.0000 7.1575 0.3311
0.0000 -2.3601 6.6990
ATOMIC_POSITIONS crystal
Sm 0.5000 0.5000 0.0000
Mg 0.0000 0.5000 0.5000
Cl 0.0000 0.2741 0.7163
Cl 0.0000 0.7259 0.2837
Cl 0.5000 0.2981 0.2852
Cl 0.5000 0.7019 0.7148

=====

(3)
! YEr12Sc6 PBE relaxed; values from VASP
! **Calculated formation energy**: 0.434 eV per atom
! **ΔE to the lowest computed polymorph**: 350.3 kJ/mol of formula units
! **Calculated volume**: 31.24 Å³/atom
! **N(E_F)**: 26.7 states/eV/f.u.
&SYSTEM
  ibrav = 0, nat = 19, ntyp = 3
/
ATOMIC_SPECIES
Y 88.91 Y.upf
Er 167.26 Er.upf
Sc 44.96 Sc.upf
CELL_PARAMETERS angstrom
8.6268 -0.3928 -2.4579
-3.1519 8.0400 -2.4579
-0.2812 -0.3928 8.9657
ATOMIC_POSITIONS crystal
Y 0.0000 0.0000 0.0000
Er 0.8877 0.1123 0.5000
Er 0.3712 0.1466 0.3712
Er 0.3712 0.3712 0.1466
Er 0.8534 0.6288 0.6288
Er 0.6288 0.6288 0.8534
Er 0.6288 0.8534 0.6288
Er 0.5000 0.8877 0.1123
Er 0.1123 0.5000 0.8877
Er 0.1123 0.8877 0.5000
Er 0.5000 0.1123 0.8877
Er 0.8877 0.5000 0.1123
Er 0.1466 0.3712 0.3712
Sc 0.6889 0.2755 0.6889
Sc 0.6889 0.6889 0.2755
Sc 0.2755 0.6889 0.6889
Sc 0.3111 0.3111 0.7245
Sc 0.3111 0.7245 0.3111
Sc 0.7245 0.3111 0.3111

=====

Q: Among the records above, which one has the highest calculated volume?
A: Sm4Dy3Th2

=====

Q: Which of these has the highest calculated volume?
A: Sm4Dy3Th2

=====

Please write out number 3 again, unchanged.
! YEr12Sc6 PBE relaxed; values from VASP
! **Calculated formation energy**: 0.434 eV per atom
! **ΔE to the lowest computed polymorph**: 350.3 kJ/mol of formula units
! **Calculated volume**: 31.24 Å³/atom
! **N(E_F)**: 26.7 states/eV/f.u.
&SYSTEM
  ibrav = 0, nat = 19, ntyp = 3
/
ATOMIC_SPECIES
Y 88.91 Y.upf
Er 167.26 Er.upf
Sc 44.96 Sc.upf
CELL_PARAMETERS angstrom
8.6268 -0.3928 -2.4579
-3.1519 8.0400 -2.4579
-0.2812 -0.3928 8.9657
ATOMIC_POSITIONS crystal
Y 0.0000 0.0000 0.0000
Er 0.8877 0.1123 0.5000
Er 0.3712 0.1466 0.3712
Er 0.3712 0.3712 0.1466
Er 0.8534 0.6288 0.6288
Er 0.6288 0.6288 0.8534
Er 0.6288 0.8534 0.6288
Er 0.5000 0.8877 0.1123
Er 0.1123 0.5000 0.8877
Er 0.1123 0.8877 0.5000
Er 0.5000 0.1123 0.8877
Er 0.8877 0.5000 0.1123
Er 0.1466 0.3712 0.3712
Sc 0.6889 0.2755 0.6889
Sc 0.6889 0.6889 0.2755
Sc 0.2755 0.6889 0.6889
Sc 0.3111 0.3111 0.7245
Sc 0.3111 0.7245 0.3111
Sc 0.7245 0.3111 0.3111

=====

Q: Number 1 is which compound?
A: Sm4Dy3Th2